(1)
A geometry-optimized ZnNi5Ir2 structure, computed with PBE.

The value obtained for the formation energy is -0.4 eV/f.u. Its crystal system is monoclinic.

The structure belongs to space group Cm (No. 8); the cell edges are 8.4339, 5.2359 and 6.1130 Å and the angles 90.00°, 133.49° and 90.00°. The distinct sites, in fractional coordinates, are Zn at (0.0000, 0.0000, 0.0000), Ni at (0.2448, 0.2548, 0.4892), Ni at (0.3221, 0.2501, 0.1442), Ni at (0.4941, 0.0000, 0.9882), Ir at (0.0660, 0.5000, 0.6405) and Ir at (0.0747, 0.0000, 0.6405).

---

(2)
A geometry-optimized Zn7Ni2Ir3 structure, computed with PBE.

The value obtained for the formation energy is -0.7 eV/f.u. Its crystal system is orthorhombic.

The structure belongs to space group Cmmm (No. 65); the cell edges are 4.3386, 28.4859 and 2.8417 Å and the angles 90.00°, 90.00° and 90.00°. The distinct sites, in fractional coordinates, are Zn at (0.0000, 0.0000, 0.0000), Zn at (0.0000, 0.1062, 0.5000), Zn at (0.0000, 0.2714, 0.0000), Zn at (0.0000, 0.4247, 0.0000), Ni at (0.0000, 0.1814, 0.0000), Ir at (0.0000, 0.3471, 0.5000) and Ir at (0.0000, 0.5000, 0.5000).

---

(3)
A geometry-optimized Zn4NiIr2 structure, computed with PBE.

The value obtained for the formation energy is -1.4 eV/f.u. Its crystal system is tetragonal.

The structure belongs to space group I4/mmm (No. 139); the cell edges are 5.8913, 5.8913 and 6.0202 Å and the angles 90.00°, 90.00° and 90.00°. The distinct sites, in fractional coordinates, are Zn at (0.2500, 0.2500, 0.2500), Ni at (0.0000, 0.0000, 0.0000) and Ir at (0.0000, 0.5000, 0.0000).

---

(4)
A geometry-optimized Zn3Ni2Ir structure, computed with PBE.

The value obtained for the formation energy is -1.3 eV/f.u. Its crystal system is trigonal.

The structure belongs to space group P-3m1 (No. 164); the cell edges are 4.1729, 4.1729 and 10.2297 Å and the angles 90.00°, 90.00° and 120.00°. The distinct sites, in fractional coordinates, are Zn at (0.0000, 0.0000, 0.2437), Zn at (0.3333, 0.6667, 0.4179), Zn at (0.3333, 0.6667, 0.9223), Ni at (0.0000, 0.0000, 0.0000), Ni at (0.0000, 0.0000, 0.5000), Ni at (0.3333, 0.6667, 0.1657) and Ir at (0.3333, 0.6667, 0.6709).

---

| no. | size of the total moment (μB/atom) |
| --- | --- |
| 1 | 0.29 |
| 2 | 0.01 |
| 3 | 0.00 |
| 4 | 0.00 |